Entry 1:
# Mn4VGa2 | Alexandria | PBE | optimized geometry
data_Mn4VGa2
_space_group_name_H-M_alt 'I 4/m m m'
_space_group_IT_number 139
_space_group_name_Hall '-I 4 2'
_cell_length_a 4.1967
_cell_length_b 4.1967
_cell_length_c 13.3731
_cell_angle_alpha 90.00
_cell_angle_beta 90.00
_cell_angle_gamma 90.00
loop_
_atom_site_label
_atom_site_type_symbol
_atom_site_fract_x
_atom_site_fract_y
_atom_site_fract_z
Mn1 Mn 0.0000 0.0000 0.1845
Mn2 Mn 0.0000 0.5000 0.0000
V1 V 0.0000 0.0000 0.0000
Ga1 Ga 0.0000 0.0000 0.3745
# * distance to the lowest polymorph of the same formula: 433 meV/atom
# * spin magnetization: 20.15 μB per cell
# * ρ: 5.78 g/cm³
# * energy of formation: 446 kJ/mol of formula units
# * Fermi-level density of states: 0.65 states/eV per atom

Entry 2:
# MnSi2Pb | Alexandria | PBE | optimized geometry
data_MnSi2Pb
_space_group_name_H-M_alt 'R -3 m'
_space_group_IT_number 166
_space_group_name_Hall '-R 3 2"'
_cell_length_a 3.1003
_cell_length_b 3.1003
_cell_length_c 25.6263
_cell_angle_alpha 90.00
_cell_angle_beta 90.00
_cell_angle_gamma 120.00
loop_
_atom_site_label
_atom_site_type_symbol
_atom_site_fract_x
_atom_site_fract_y
_atom_site_fract_z
Mn1 Mn 0.0000 0.0000 0.0000
Si1 Si 0.0000 0.0000 0.2727
Pb1 Pb 0.0000 0.0000 0.5000
# * raw formation energy: 0.33 eV/atom
# * spin magnetization: 0.83 μB per cell
# * ρ: 7.43 g/cm³
# * Fermi-level density of states: 0.89 states/eV per atom

Entry 3:
# Tm4Ga2C | Alexandria | PBE | optimized geometry
data_Tm4Ga2C
_space_group_name_H-M_alt 'P b a m'
_space_group_IT_number 55
_space_group_name_Hall '-P 2 2ab'
_cell_length_a 7.7015
_cell_length_b 11.8789
_cell_length_c 3.5740
_cell_angle_alpha 90.00
_cell_angle_beta 90.00
_cell_angle_gamma 90.00
loop_
_atom_site_label
_atom_site_type_symbol
_atom_site_fract_x
_atom_site_fract_y
_atom_site_fract_z
Tm1 Tm 0.1263 0.1877 0.0000
Tm2 Tm 0.2028 0.9450 0.5000
Ga1 Ga 0.0721 0.6597 0.5000
C1 C 0.0000 0.0000 0.0000
# * distance to the lowest polymorph of the same formula: 81 meV/atom
# * spin magnetization: 0.01 μB per cell
# * ρ: 8.40 g/cm³
# * energy of formation: -250 kJ/mol of formula units
# * Fermi-level density of states: 0.92 states/eV per atom

Entry 4:
# Pa2VZn16 | Alexandria | PBE | optimized geometry
data_Pa2VZn16
_space_group_name_H-M_alt 'R 3 m'
_space_group_IT_number 160
_space_group_name_Hall 'R 3 -2"'
_cell_length_a 8.9821
_cell_length_b 8.9821
_cell_length_c 13.1648
_cell_angle_alpha 90.00
_cell_angle_beta 90.00
_cell_angle_gamma 120.00
loop_
_atom_site_label
_atom_site_type_symbol
_atom_site_fract_x
_atom_site_fract_y
_atom_site_fract_z
Pa1 Pa 0.0000 0.0000 0.0000
Pa2 Pa 0.0000 0.0000 0.3313
V1 V 0.0000 0.0000 0.7796
Zn1 Zn 0.0000 0.0000 0.5676
Zn2 Zn 0.9999 0.2890 0.6742
Zn3 Zn 0.0019 0.5010 0.1731
Zn4 Zn 0.0160 0.5080 0.8209
Zn5 Zn 0.1683 0.3367 0.8591
# * spin magnetization: 10.79 μB per cell
# * ρ: 8.45 g/cm³
# * energy of formation: -136 kJ/mol of formula units
# * Fermi-level density of states: 0.69 states/eV per atom

Entry 5:
# YMn2Hg | Alexandria | PBE | optimized geometry
data_YMn2Hg
_space_group_name_H-M_alt 'P 4/m m m'
_space_group_IT_number 123
_space_group_name_Hall '-P 4 2'
_cell_length_a 4.3333
_cell_length_b 4.3333
_cell_length_c 4.1317
_cell_angle_alpha 90.00
_cell_angle_beta 90.00
_cell_angle_gamma 90.00
loop_
_atom_site_label
_atom_site_type_symbol
_atom_site_fract_x
_atom_site_fract_y
_atom_site_fract_z
Y1 Y 0.0000 0.0000 0.0000
Mn1 Mn 0.0000 0.5000 0.5000
Hg1 Hg 0.5000 0.5000 0.0000
# * spin magnetization: 6.05 μB per cell
# * ρ: 8.55 g/cm³
# * energy of formation: 87 kJ/mol of formula units
# * Fermi-level density of states: 1.03 states/eV per atom

Entry 6:
# HoTaCo2 | Alexandria | PBE | optimized geometry
data_HoTaCo2
_space_group_name_H-M_alt 'R -3 m'
_space_group_IT_number 166
_space_group_name_Hall '-R 3 2"'
_cell_length_a 4.1622
_cell_length_b 4.1622
_cell_length_c 13.9985
_cell_angle_alpha 90.00
_cell_angle_beta 90.00
_cell_angle_gamma 120.00
loop_
_atom_site_label
_atom_site_type_symbol
_atom_site_fract_x
_atom_site_fract_y
_atom_site_fract_z
Ho1 Ho 0.0000 0.0000 0.0000
Ta1 Ta 0.0000 0.0000 0.5000
Co1 Co 0.0000 0.0000 0.2102
# * distance to the lowest polymorph of the same formula: 74 meV/atom
# * spin magnetization: 0.00 μB per cell
# * ρ: 11.00 g/cm³
# * energy of formation: -39 kJ/mol of formula units
# * Fermi-level density of states: 1.25 states/eV per atom

Entry 7:
# Ac2ZrGe4Ir3 | Alexandria | PBE | optimized geometry
data_Ac2ZrGe4Ir3
_space_group_name_H-M_alt 'P -4 m 2'
_space_group_IT_number 115
_space_group_name_Hall 'P -4 -2'
_cell_length_a 4.3625
_cell_length_b 4.3625
_cell_length_c 11.0157
_cell_angle_alpha 90.00
_cell_angle_beta 90.00
_cell_angle_gamma 90.00
loop_
_atom_site_label
_atom_site_type_symbol
_atom_site_fract_x
_atom_site_fract_y
_atom_site_fract_z
Ac1 Ac 0.0000 0.5000 0.2361
Zr1 Zr 0.0000 0.0000 0.5000
Ge1 Ge 0.0000 0.0000 0.0000
Ge2 Ge 0.0000 0.5000 0.6499
Ge3 Ge 0.5000 0.5000 0.0000
Ir1 Ir 0.0000 0.5000 0.8831
Ir2 Ir 0.5000 0.5000 0.5000
# * spin magnetization: 0.00 μB per cell
# * ρ: 11.19 g/cm³
# * energy of formation: -703 kJ/mol of formula units
# * Fermi-level density of states: 0.70 states/eV per atom

Entry 8:
# Ho7Ni2Sb2 | Alexandria | PBE | optimized geometry
data_Ho7Ni2Sb2
_space_group_name_H-M_alt 'C m m m'
_space_group_IT_number 65
_space_group_name_Hall '-C 2 2'
_cell_length_a 8.2661
_cell_length_b 10.8221
_cell_length_c 6.7562
_cell_angle_alpha 90.00
_cell_angle_beta 90.00
_cell_angle_gamma 90.00
loop_
_atom_site_label
_atom_site_type_symbol
_atom_site_fract_x
_atom_site_fract_y
_atom_site_fract_z
Ho1 Ho 0.0000 0.0000 0.0000
Ho2 Ho 0.0000 0.5000 0.2325
Ho3 Ho 0.2500 0.2500 0.2468
Ni1 Ni 0.0000 0.2832 0.0000
Sb1 Sb 0.1935 0.0000 0.5000
# * raw formation energy: -0.38 eV/atom
# * spin magnetization: 0.00 μB per cell
# * ρ: 8.33 g/cm³
# * Fermi-level density of states: 0.88 states/eV per atom

Entry 9:
# Pu2Pa2CrSi4 | Alexandria | PBE | optimized geometry
data_Pu2Pa2CrSi4
_space_group_name_H-M_alt 'I 4/m m m'
_space_group_IT_number 139
_space_group_name_Hall '-I 4 2'
_cell_length_a 6.7991
_cell_length_b 6.7991
_cell_length_c 7.7232
_cell_angle_alpha 90.00
_cell_angle_beta 90.00
_cell_angle_gamma 90.00
loop_
_atom_site_label
_atom_site_type_symbol
_atom_site_fract_x
_atom_site_fract_y
_atom_site_fract_z
Pu1 Pu 0.0000 0.0000 0.1908
Pa1 Pa 0.0000 0.5000 0.2500
Cr1 Cr 0.0000 0.0000 0.5000
Si1 Si 0.2440 0.2440 0.5000
# * raw formation energy: -0.17 eV/atom
# * spin magnetization: 21.48 μB per cell
# * ρ: 10.37 g/cm³
# * Fermi-level density of states: 1.72 states/eV per atom

Entry 10:
# LaAlAs2 | Alexandria | PBE | optimized geometry
data_LaAlAs2
_space_group_name_H-M_alt 'R -3 m'
_space_group_IT_number 166
_space_group_name_Hall '-R 3 2"'
_cell_length_a 4.1287
_cell_length_b 4.1287
_cell_length_c 19.2846
_cell_angle_alpha 90.00
_cell_angle_beta 90.00
_cell_angle_gamma 120.00
loop_
_atom_site_label
_atom_site_type_symbol
_atom_site_fract_x
_atom_site_fract_y
_atom_site_fract_z
La1 La 0.0000 0.0000 0.0000
Al1 Al 0.0000 0.0000 0.5000
As1 As 0.0000 0.0000 0.2359
# * spin magnetization: 0.00 μB per cell
# * ρ: 5.52 g/cm³
# * energy of formation: -295 kJ/mol of formula units
# * Fermi-level density of states: 0.09 states/eV per atom

Entry 11:
# CeGdBeZn | Alexandria | PBE | optimized geometry
data_CeGdBeZn
_space_group_name_H-M_alt 'F -4 3 m'
_space_group_IT_number 216
_space_group_name_Hall 'F -4 2 3'
_cell_length_a 7.0690
_cell_length_b 7.0690
_cell_length_c 7.0690
_cell_angle_alpha 90.00
_cell_angle_beta 90.00
_cell_angle_gamma 90.00
loop_
_atom_site_label
_atom_site_type_symbol
_atom_site_fract_x
_atom_site_fract_y
_atom_site_fract_z
Ce1 Ce 0.0000 0.0000 0.0000
Gd1 Gd 0.0000 0.0000 0.5000
Be1 Be 0.2500 0.2500 0.2500
Zn1 Zn 0.2500 0.2500 0.7500
# * spin magnetization: 32.02 μB per cell
# * ρ: 6.99 g/cm³
# * energy of formation: -6 kJ/mol of formula units
# * Fermi-level density of states: 1.70 states/eV per atom

Record order is preserved below.
Calculated total energy: -6.75 -5.60 -5.11 -2.63 -6.05 -7.76 -6.91 -5.10 -8.94 -5.26 -6.27 eV/atom